# 1
Computed, not measured: an optimized crystal structure of MnNiTe2I at the GGA-PBE level of DFT.

The space group is P4/mmm, No. 123. The value obtained for the energy above the most stable polymorph in this dataset is 275 meV/atom. The formation energy without anion corrections is 75.06 kJ per mole of atoms.

Lattice parameters (Å, degrees): 5.203 5.203 5.484 90.00 90.00 90.00
Fractional positions:
Te (0.000, 0.500, 0.000)
Ni (0.500, 0.500, 0.500)
I (0.000, 0.000, 0.500)
Mn (0.000, 0.000, 0.000)
Te (0.500, 0.000, 0.000)

---

# 2
Computed, not measured: an optimized crystal structure of V3RhW at the GGA-PBE level of DFT.

The space group is C2/c, No. 15. The value obtained for the energy above the most stable polymorph in this dataset is 7 meV/atom. The formation energy is 0.0341 eV/atom.

Lattice parameters (Å, degrees): 5.013 7.747 7.747 83.41 78.86 78.86
Fractional positions:
V (0.119, 0.999, 0.630)
W (0.250, 0.806, 0.194)
W (0.750, 0.928, 0.072)
V (0.381, 0.370, 0.001)
Rh (0.030, 0.677, 0.528)
V (0.999, 0.451, 0.810)
W (0.250, 0.072, 0.928)
V (0.852, 0.274, 0.138)
V (0.501, 0.190, 0.549)
V (0.648, 0.862, 0.726)
Rh (0.530, 0.528, 0.677)
V (0.352, 0.138, 0.274)
W (0.750, 0.194, 0.806)
V (0.001, 0.549, 0.190)
V (0.619, 0.630, 0.999)
Rh (0.970, 0.323, 0.472)
V (0.148, 0.726, 0.862)
V (0.499, 0.810, 0.451)
Rh (0.470, 0.472, 0.323)
V (0.881, 0.001, 0.370)

---

# 3
Computed, not measured: an optimized crystal structure of DyTiGa2 at the GGA-PBE level of DFT.

The space group is Fm-3m, No. 225. The value obtained for the energy above the most stable polymorph in this dataset is 67 meV/atom. The formation energy is -0.3656 eV/atom.

Lattice parameters (Å, degrees): 4.786 4.786 4.786 60.00 60.00 60.00
Fractional positions:
Dy (0.000, 0.000, 0.000)
Ti (0.500, 0.500, 0.500)
Ga (0.250, 0.250, 0.250)
Ga (0.750, 0.750, 0.750)

---

# 4
Computed, not measured: an optimized crystal structure of YCo2Br at the GGA-PBE level of DFT.

The space group is I-42d, No. 122. The value obtained for the energy above the most stable polymorph in this dataset is 595 meV/atom. The formation energy without anion corrections is 28.91 kJ per mole of atoms.

Lattice parameters (Å, degrees): 4.540 4.540 8.230 73.99 73.99 90.00
Fractional positions:
Co (0.310, 0.625, 0.250)
Br (0.500, 0.500, 0.000)
Co (0.875, 0.690, 0.750)
Y (0.000, 0.000, 0.000)
Co (0.375, 0.560, 0.750)
Co (0.440, 0.125, 0.250)
Y (0.750, 0.250, 0.500)
Br (0.250, 0.750, 0.500)

---

# 5
Computed, not measured: an optimized crystal structure of Ba2Sn2Te at the GGA-PBE level of DFT.

The space group is I4/mmm, No. 139. The value obtained for the energy above the most stable polymorph in this dataset is 0 meV/atom. The formation energy without anion corrections is -85.97 kJ per mole of atoms.

Lattice parameters (Å, degrees): 4.382 4.382 10.363 77.79 77.79 90.00
Fractional positions:
Te (0.000, 0.000, 0.000)
Ba (0.401, 0.401, 0.199)
Sn (0.250, 0.750, 0.500)
Sn (0.750, 0.250, 0.500)
Ba (0.599, 0.599, 0.801)

---

# 6
Computed, not measured: an optimized crystal structure of Ho2IrRh at the GGA-PBE level of DFT.

The space group is Fm-3m, No. 225. The value obtained for the energy above the most stable polymorph in this dataset is 0 meV/atom. The formation energy is -0.9037 eV/atom.

Lattice parameters (Å, degrees): 4.822 4.822 4.822 60.00 60.00 60.00
Fractional positions:
Ho (0.750, 0.750, 0.750)
Ho (0.250, 0.250, 0.250)
Rh (0.000, 0.000, 0.000)
Ir (0.500, 0.500, 0.500)